A plane-wave DFT calculation with PBEsol was carried out for a relaxed structure of KHg11.

Cell and atoms, written as CIF:
```
data_KHg11
_space_group_name_H-M_alt 'P 1'
_space_group_IT_number 1
_cell_length_a 9.658
_cell_length_b 9.658
_cell_length_c 9.658
_cell_angle_alpha 90.00
_cell_angle_beta 90.00
_cell_angle_gamma 90.00
loop_
_space_group_symop_operation_xyz
'x,y,z'
loop_
_atom_site_label
_atom_site_fract_x
_atom_site_fract_y
_atom_site_fract_z
K1 0.000 0.000 0.500
K2 0.000 0.500 0.000
K3 0.500 0.000 0.000
Hg1 0.000 0.345 0.345
Hg2 0.000 0.345 0.655
Hg3 0.000 0.655 0.345
Hg4 0.000 0.655 0.655
Hg5 0.154 0.154 0.154
Hg6 0.154 0.154 0.846
Hg7 0.154 0.846 0.154
Hg8 0.154 0.846 0.846
Hg9 0.267 0.267 0.500
Hg10 0.267 0.500 0.267
Hg11 0.267 0.500 0.733
Hg12 0.267 0.733 0.500
Hg13 0.345 0.000 0.345
Hg14 0.345 0.000 0.655
Hg15 0.345 0.345 0.000
Hg16 0.345 0.655 0.000
Hg17 0.500 0.267 0.267
Hg18 0.500 0.267 0.733
Hg19 0.500 0.500 0.500
Hg20 0.500 0.733 0.267
Hg21 0.500 0.733 0.733
Hg22 0.655 0.000 0.345
Hg23 0.655 0.000 0.655
Hg24 0.655 0.345 0.000
Hg25 0.655 0.655 0.000
Hg26 0.733 0.267 0.500
Hg27 0.733 0.500 0.267
Hg28 0.733 0.500 0.733
Hg29 0.733 0.733 0.500
Hg30 0.846 0.154 0.154
Hg31 0.846 0.154 0.846
Hg32 0.846 0.846 0.154
Hg33 0.846 0.846 0.846
```

SG   Pm-3m (221)
V   901 Å³ per cell
Fermi-level density of states   0.26 states/eV per atom
Calculated formation energy   -0.101 eV per atom
Crystal system   cubic

---

A plane-wave DFT calculation with PBEsol was carried out for a relaxed structure of KHg2.

Cell and atoms, written as CIF:
```
data_KHg2
_space_group_name_H-M_alt 'P 1'
_space_group_IT_number 1
_cell_length_a 4.198
_cell_length_b 4.198
_cell_length_c 5.715
_cell_angle_alpha 90.00
_cell_angle_beta 90.00
_cell_angle_gamma 90.00
loop_
_space_group_symop_operation_xyz
'x,y,z'
loop_
_atom_site_label
_atom_site_fract_x
_atom_site_fract_y
_atom_site_fract_z
K1 0.000 0.000 0.000
Hg1 0.000 0.500 0.500
Hg2 0.500 0.000 0.500
```

SG   P4/mmm (123)
V   101 Å³ per cell
Fermi-level density of states   0.41 states/eV per atom
Calculated formation energy   -0.165 eV per atom
Crystal system   tetragonal

---

Theoretical density for every record listed, in sequence, given in g cm⁻³: 12.4; 7.3.